# Ti4Ga3Ge | Alexandria | GGA-PBE | relaxed
# Calculated volume ... 127 Å³/f.u.
# Magnetization ... 1.0 Bohr magnetons per cell
# ΔH_f (0 K) ... -429 meV per atom
# DOS at the Fermi energy ... 17.85 states/eV/cell
data_Ti4Ga3Ge
_chemical_formula_sum 'Ti8 Ga6 Ge2'
_space_group_name_H-M_alt 'P m n 21'
_space_group_IT_number 31
_cell_length_a 8.6344
_cell_length_b 5.4280
_cell_length_c 5.4285
_cell_angle_alpha 90.00
_cell_angle_beta 90.00
_cell_angle_gamma 90.00
loop_
_space_group_symop_operation_xyz
'x,y,z'
'-x+1/2,-y,z+1/2'
'-x,y,z'
'x+1/2,-y,z+1/2'
loop_
_atom_site_label
_atom_site_type_symbol
_atom_site_fract_x
_atom_site_fract_y
_atom_site_fract_z
Ti1 Ti 0.0000 0.0003 0.0000
Ti2 Ti 0.0000 0.4995 0.4992
Ti3 Ti 0.2500 0.2444 0.7495
Ga1 Ga 0.0000 0.5002 0.9994
Ga2 Ga 0.2503 0.2565 0.2495
Ge1 Ge 0.0000 0.9996 0.4998

=====

# NbSbAs2Br | Alexandria | GGA-PBE | relaxed
# Energy above the lowest structure with this stoichiometry ... 838 meV/atom
# Calculated volume ... 147 Å³/f.u.
# Magnetization ... 2.4 Bohr magnetons per cell
# DOS at the Fermi energy ... 5.65 states/eV/cell
# Formation energy (no corrections) ... 1156.3 meV/atom
data_NbSbAs2Br
_chemical_formula_sum 'Nb1 Sb1 As2 Br1'
_space_group_name_H-M_alt 'P 4/m m m'
_space_group_IT_number 123
_space_group_name_Hall '-P 4 2'
_cell_length_a 5.2482
_cell_length_b 5.2482
_cell_length_c 5.3260
_cell_angle_alpha 90.00
_cell_angle_beta 90.00
_cell_angle_gamma 90.00
loop_
_atom_site_label
_atom_site_type_symbol
_atom_site_fract_x
_atom_site_fract_y
_atom_site_fract_z
Nb1 Nb 0.0000 0.0000 0.0000
Sb1 Sb 0.5000 0.5000 0.5000
As1 As 0.0000 0.5000 0.5000
Br1 Br 0.5000 0.5000 0.0000

=====

# MgCd8In3 | Alexandria | GGA-PBE | relaxed
# Calculated volume ... 336 Å³/f.u.
# Magnetization ... 0.0 Bohr magnetons per cell
# ΔH_f (0 K) ... 155 meV per atom
# DOS at the Fermi energy ... 9.28 states/eV/cell
data_MgCd8In3
_chemical_formula_sum 'Mg2 Cd16 In6'
_space_group_name_H-M_alt 'I -4 2 m'
_space_group_IT_number 121
_space_group_name_Hall 'I -4 2'
_cell_length_a 8.0420
_cell_length_b 8.0420
_cell_length_c 10.3755
_cell_angle_alpha 90.00
_cell_angle_beta 90.00
_cell_angle_gamma 90.00
loop_
_atom_site_label
_atom_site_type_symbol
_atom_site_fract_x
_atom_site_fract_y
_atom_site_fract_z
Mg1 Mg 0.0000 0.0000 0.0000
Cd1 Cd 0.1347 0.1347 0.2360
Cd2 Cd 0.2459 0.2459 0.9814
In1 In 0.0000 0.0000 0.5000
In2 In 0.0000 0.5000 0.2500

=====

# Y2MnRe | Alexandria | GGA-PBE | relaxed
# Energy above the lowest structure with this stoichiometry ... 110 meV/atom
# Calculated volume ... 86 Å³/f.u.
# Magnetization ... 4.0 Bohr magnetons per cell
# ΔH_f (0 K) ... 191 meV per atom
# DOS at the Fermi energy ... 10.77 states/eV/cell
data_Y2MnRe
_chemical_formula_sum 'Y4 Mn2 Re2'
_space_group_name_H-M_alt 'I m m 2'
_space_group_IT_number 44
_cell_length_a 3.4076
_cell_length_b 4.8337
_cell_length_c 10.4847
_cell_angle_alpha 90.00
_cell_angle_beta 90.00
_cell_angle_gamma 90.00
loop_
_space_group_symop_operation_xyz
'x,y,z'
'-x,-y,z'
'-x,y,z'
'x,-y,z'
'x+1/2,y+1/2,z+1/2'
'-x+1/2,-y+1/2,z+1/2'
'-x+1/2,y+1/2,z+1/2'
'x+1/2,-y+1/2,z+1/2'
loop_
_atom_site_label
_atom_site_type_symbol
_atom_site_fract_x
_atom_site_fract_y
_atom_site_fract_z
Y1 Y 0.0000 0.0000 0.0000
Y2 Y 0.0000 0.5000 0.2181
Mn1 Mn 0.0000 0.5000 0.7876
Re1 Re 0.0000 0.0000 0.4455

=====

# Cd2RuAu | Alexandria | GGA-PBE | relaxed
# Energy above the lowest structure with this stoichiometry ... 61 meV/atom
# Calculated volume ... 72 Å³/f.u.
# Magnetization ... 1.5 Bohr magnetons per cell
# ΔH_f (0 K) ... 171 meV per atom
# DOS at the Fermi energy ... 7.05 states/eV/cell
data_Cd2RuAu
_chemical_formula_sum 'Cd6 Ru3 Au3'
_space_group_name_H-M_alt 'R -3 m'
_space_group_IT_number 166
_space_group_name_Hall '-R 3 2"'
_cell_length_a 2.9634
_cell_length_b 2.9634
_cell_length_c 28.3998
_cell_angle_alpha 90.00
_cell_angle_beta 90.00
_cell_angle_gamma 120.00
loop_
_atom_site_label
_atom_site_type_symbol
_atom_site_fract_x
_atom_site_fract_y
_atom_site_fract_z
Cd1 Cd 0.0000 0.0000 0.2471
Ru1 Ru 0.0000 0.0000 0.5000
Au1 Au 0.0000 0.0000 0.0000

=====

# Pr5DyHo6 | Alexandria | GGA-PBE | relaxed
# Calculated volume ... 397 Å³/f.u.
# Magnetization ... 0.0 Bohr magnetons per cell
# ΔH_f (0 K) ... 20 meV per atom
# DOS at the Fermi energy ... 32.54 states/eV/cell
data_Pr5DyHo6
_chemical_formula_sum 'Pr10 Dy2 Ho12'
_space_group_name_H-M_alt 'I m m m'
_space_group_IT_number 71
_space_group_name_Hall '-I 2 2'
_cell_length_a 5.1276
_cell_length_b 10.1000
_cell_length_c 15.3475
_cell_angle_alpha 90.00
_cell_angle_beta 90.00
_cell_angle_gamma 90.00
loop_
_atom_site_label
_atom_site_type_symbol
_atom_site_fract_x
_atom_site_fract_y
_atom_site_fract_z
Pr1 Pr 0.0000 0.0000 0.0000
Pr2 Pr 0.0000 0.0000 0.3351
Pr3 Pr 0.0000 0.5000 0.3332
Dy1 Dy 0.0000 0.5000 0.0000
Ho1 Ho 0.0000 0.2484 0.5000
Ho2 Ho 0.0000 0.2510 0.1661

=====

# ZnTcNi | Alexandria | GGA-PBE | relaxed
# Energy above the lowest structure with this stoichiometry ... 0 meV/atom
# Calculated volume ... 39 Å³/f.u.
# Magnetization ... 0.0 Bohr magnetons per cell
# ΔH_f (0 K) ... -33 meV per atom
# DOS at the Fermi energy ... 6.58 states/eV/cell
data_ZnTcNi
_chemical_formula_sum 'Zn2 Tc2 Ni2'
_space_group_name_H-M_alt 'I 4 m m'
_space_group_IT_number 107
_space_group_name_Hall 'I 4 -2'
_cell_length_a 2.6279
_cell_length_b 2.6279
_cell_length_c 11.3636
_cell_angle_alpha 90.00
_cell_angle_beta 90.00
_cell_angle_gamma 90.00
loop_
_atom_site_label
_atom_site_type_symbol
_atom_site_fract_x
_atom_site_fract_y
_atom_site_fract_z
Zn1 Zn 0.0000 0.0000 0.0000
Tc1 Tc 0.0000 0.0000 0.3164
Ni1 Ni 0.0000 0.0000 0.6603

=====

# La2Ce3NdSe6 | Alexandria | GGA-PBE | relaxed
# Calculated volume ... 325 Å³/f.u.
# Magnetization ... 5.9 Bohr magnetons per cell
# DOS at the Fermi energy ... 40.86 states/eV/cell
# Formation energy (no corrections) ... -1884.1 meV/atom
data_La2Ce3NdSe6
_chemical_formula_sum 'La4 Ce6 Nd2 Se12'
_space_group_name_H-M_alt 'C 1 2/m 1'
_space_group_IT_number 12
_cell_length_a 7.3394
_cell_length_b 12.7216
_cell_length_c 7.3834
_cell_angle_alpha 90.00
_cell_angle_beta 109.39
_cell_angle_gamma 90.00
loop_
_space_group_symop_operation_xyz
'x,y,z'
'-x,-y,-z'
'-x,y,-z'
'x,-y,z'
'x+1/2,y+1/2,z'
'-x+1/2,-y+1/2,-z'
'-x+1/2,y+1/2,-z'
'x+1/2,-y+1/2,z'
loop_
_atom_site_label
_atom_site_type_symbol
_atom_site_fract_x
_atom_site_fract_y
_atom_site_fract_z
La1 La 0.0000 0.1664 0.0000
Ce1 Ce 0.0000 0.0000 0.5000
Ce2 Ce 0.0000 0.3326 0.5000
Nd1 Nd 0.0000 0.5000 0.0000
Se1 Se 0.2452 0.5000 0.7441
Se2 Se 0.2499 0.1654 0.7454

=====

# CePa2Cu9 | Alexandria | GGA-PBE | relaxed
# Calculated volume ... 191 Å³/f.u.
# Magnetization ... 1.5 Bohr magnetons per cell
# ΔH_f (0 K) ... -36 meV per atom
# DOS at the Fermi energy ... 32.33 states/eV/cell
data_CePa2Cu9
_chemical_formula_sum 'Ce2 Pa4 Cu18'
_space_group_name_H-M_alt 'P 63/m m c'
_space_group_IT_number 194
_space_group_name_Hall '-P 6c 2c'
_cell_length_a 5.0996
_cell_length_b 5.0996
_cell_length_c 16.9628
_cell_angle_alpha 90.00
_cell_angle_beta 90.00
_cell_angle_gamma 120.00
loop_
_atom_site_label
_atom_site_type_symbol
_atom_site_fract_x
_atom_site_fract_y
_atom_site_fract_z
Ce1 Ce 0.3333 0.6667 0.2500
Pa1 Pa 0.3333 0.6667 0.0293
Cu1 Cu 0.0000 0.0000 0.0000
Cu2 Cu 0.0000 0.0000 0.2500
Cu3 Cu 0.1664 0.3327 0.6276
Cu4 Cu 0.3333 0.6667 0.7500

=====

# ErTc2B | Alexandria | GGA-PBE | relaxed
# Calculated volume ... 62 Å³/f.u.
# Magnetization ... 0.0 Bohr magnetons per cell
# ΔH_f (0 K) ... -71 meV per atom
# DOS at the Fermi energy ... 7.88 states/eV/cell
data_ErTc2B
_chemical_formula_sum 'Er3 Tc6 B3'
_space_group_name_H-M_alt 'R -3 m'
_space_group_IT_number 166
_space_group_name_Hall '-R 3 2"'
_cell_length_a 3.1754
_cell_length_b 3.1754
_cell_length_c 21.4436
_cell_angle_alpha 90.00
_cell_angle_beta 90.00
_cell_angle_gamma 120.00
loop_
_atom_site_label
_atom_site_type_symbol
_atom_site_fract_x
_atom_site_fract_y
_atom_site_fract_z
Er1 Er 0.0000 0.0000 0.0000
Tc1 Tc 0.0000 0.0000 0.2198
B1 B 0.0000 0.0000 0.5000

=====

# TiBe9Pd2 | Alexandria | GGA-PBE | relaxed
# Calculated volume ... 116 Å³/f.u.
# Magnetization ... 0.9 Bohr magnetons per cell
# ΔH_f (0 K) ... -329 meV per atom
# DOS at the Fermi energy ... 11.08 states/eV/cell
data_TiBe9Pd2
_chemical_formula_sum 'Ti2 Be18 Pd4'
_space_group_name_H-M_alt 'P 63/m m c'
_space_group_IT_number 194
_space_group_name_Hall '-P 6c 2c'
_cell_length_a 4.3942
_cell_length_b 4.3942
_cell_length_c 13.9182
_cell_angle_alpha 90.00
_cell_angle_beta 90.00
_cell_angle_gamma 120.00
loop_
_atom_site_label
_atom_site_type_symbol
_atom_site_fract_x
_atom_site_fract_y
_atom_site_fract_z
Ti1 Ti 0.3333 0.6667 0.2500
Be1 Be 0.0000 0.0000 0.0000
Be2 Be 0.0000 0.0000 0.2500
Be3 Be 0.1679 0.3357 0.6249
Be4 Be 0.3333 0.6667 0.7500
Pd1 Pd 0.3333 0.6667 0.0438

=====

# KRb2USe4 | Alexandria | GGA-PBE | relaxed
# Calculated volume ... 277 Å³/f.u.
# Magnetization ... 1.0 Bohr magnetons per cell
# DOS at the Fermi energy ... 5.23 states/eV/cell
# Formation energy (no corrections) ... -1215.4 meV/atom
data_KRb2USe4
_chemical_formula_sum 'K1 Rb2 U1 Se4'
_space_group_name_H-M_alt 'P 1 2/m 1'
_space_group_IT_number 10
_cell_length_a 8.0320
_cell_length_b 4.3914
_cell_length_c 8.2660
_cell_angle_alpha 90.00
_cell_angle_beta 108.01
_cell_angle_gamma 90.00
loop_
_space_group_symop_operation_xyz
'x,y,z'
'-x,-y,-z'
'-x,y,-z'
'x,-y,z'
loop_
_atom_site_label
_atom_site_type_symbol
_atom_site_fract_x
_atom_site_fract_y
_atom_site_fract_z
K1 K 0.0000 0.0000 0.0000
Rb1 Rb 0.0000 0.5000 0.5000
Rb2 Rb 0.5000 0.0000 0.5000
U1 U 0.5000 0.5000 0.0000
Se1 Se 0.2910 0.5000 0.1975
Se2 Se 0.3024 0.0000 0.8074

=====

Q: Look up the calculated volume of the fifth one.
A: 72 Å³/f.u.

=====

Q: Which formula does entry 2 have?
A: NbSbAs2Br

=====

What did the eleventh record say?
# TiBe9Pd2 | Alexandria | GGA-PBE | relaxed
# Calculated volume ... 116 Å³/f.u.
# Magnetization ... 0.9 Bohr magnetons per cell
# ΔH_f (0 K) ... -329 meV per atom
# DOS at the Fermi energy ... 11.08 states/eV/cell
data_TiBe9Pd2
_chemical_formula_sum 'Ti2 Be18 Pd4'
_space_group_name_H-M_alt 'P 63/m m c'
_space_group_IT_number 194
_space_group_name_Hall '-P 6c 2c'
_cell_length_a 4.3942
_cell_length_b 4.3942
_cell_length_c 13.9182
_cell_angle_alpha 90.00
_cell_angle_beta 90.00
_cell_angle_gamma 120.00
loop_
_atom_site_label
_atom_site_type_symbol
_atom_site_fract_x
_atom_site_fract_y
_atom_site_fract_z
Ti1 Ti 0.3333 0.6667 0.2500
Be1 Be 0.0000 0.0000 0.0000
Be2 Be 0.0000 0.0000 0.2500
Be3 Be 0.1679 0.3357 0.6249
Be4 Be 0.3333 0.6667 0.7500
Pd1 Pd 0.3333 0.6667 0.0438